No. 1
VASP calculation (PBE) on a geometry-optimized Tc6Ir7 structure.

The calculation puts the calculated volume at 197.56 Å³/cell. Its formation energy is 0.1826 eV per atom.

Lattice parameters (Å, degrees): 9.2847 9.2847 9.2847 31.81 31.81 31.81
Last column: nearest neighbours and their distance in Å.
Fractional positions:
Tc1 0.0453 0.0453 0.0453  1 Tc 2.40
Tc2 0.1516 0.1516 0.1516  4 Tc 2.81-3.04, 12 Ir 2.93-3.09
Tc3 0.3350 0.3350 0.3350  6 Ir 2.67-2.73, 3 Tc 2.94
Tc4 0.6650 0.6650 0.6650  6 Ir 2.67-2.73, 3 Tc 2.94
Tc5 0.8484 0.8484 0.8484  4 Tc 2.81-3.04, 12 Ir 2.93-3.09
Tc6 0.9547 0.9547 0.9547  1 Tc 2.40
Ir1 0.0828 0.5869 0.5869  5 Ir 2.52-2.61, 4 Tc 2.67-2.76
Ir2 0.4131 0.4131 0.9172  5 Ir 2.52-2.61, 4 Tc 2.67-2.76
Ir3 0.4131 0.9172 0.4131  5 Ir 2.52-2.61, 4 Tc 2.67-2.76
Ir4 0.5000 0.5000 0.5000  6 Ir 2.61
Ir5 0.5869 0.0828 0.5869  5 Ir 2.52-2.61, 4 Tc 2.67-2.76
Ir6 0.5869 0.5869 0.0828  5 Ir 2.52-2.61, 4 Tc 2.67-2.76
Ir7 0.9172 0.4131 0.4131  5 Ir 2.52-2.61, 4 Tc 2.67-2.76

No. 2
VASP calculation (PBE) on a geometry-optimized TcIr2 structure.

The calculation puts the distance to the lowest polymorph of the same formula at 0.0000 eV/atom. The calculation puts the calculated volume at 86.65 Å³/cell. Its formation energy is -0.2246 eV per atom.

Lattice parameters (Å, degrees): 7.3199 7.3199 4.3820 90.00 90.00 158.34
Last column: nearest neighbours and their distance in Å.
Fractional positions:
Tc1 0.1115 0.8885 0.7500  10 Ir 2.71-2.75, 2 Tc 2.75
Tc2 0.8885 0.1115 0.2500  10 Ir 2.71-2.75, 2 Tc 2.75
Ir1 0.2239 0.7761 0.2500  8 Ir 2.69-2.80, 4 Tc 2.72-2.74
Ir2 0.4456 0.5544 0.7500  6 Ir 2.69-2.80, 6 Tc 2.71-2.75
Ir3 0.5544 0.4456 0.2500  6 Ir 2.69-2.80, 6 Tc 2.71-2.75
Ir4 0.7761 0.2239 0.7500  8 Ir 2.69-2.80, 4 Tc 2.72-2.74

No. 3
VASP calculation (PBE) on a geometry-optimized TcIr5 structure.

The calculation puts the distance to the lowest polymorph of the same formula at 0.0348 eV/atom. The calculation puts the calculated volume at 87.01 Å³/cell. Its formation energy is -0.0773 eV per atom.

Lattice parameters (Å, degrees): 2.7327 2.7327 11.6517 90.00 90.00 90.00
Last column: nearest neighbours and their distance in Å.
Fractional positions:
Tc1 0.0000 0.0000 0.0000  8 Ir 2.72, 4 Tc 2.73
Ir1 0.0000 0.0000 0.3354  12 Ir 2.72-2.78
Ir2 0.0000 0.0000 0.6646  12 Ir 2.72-2.78
Ir3 0.5000 0.5000 0.1640  4 Tc 2.72, 8 Ir 2.73-2.78
Ir4 0.5000 0.5000 0.5000  12 Ir 2.72-2.73
Ir5 0.5000 0.5000 0.8360  4 Tc 2.72, 8 Ir 2.73-2.78

No. 4
VASP calculation (PBE) on a geometry-optimized TcIr2 structure.

The calculation puts the distance to the lowest polymorph of the same formula at 0.1509 eV/atom. The calculation puts the calculated volume at 131.68 Å³/cell. Its formation energy is -0.0737 eV per atom.

Lattice parameters (Å, degrees): 7.4508 7.4508 2.7389 90.00 90.00 120.00
Last column: nearest neighbours and their distance in Å.
Fractional positions:
Tc1 0.0000 0.0000 0.0000  9 Ir 2.63-2.70, 2 Tc 2.74
Tc2 0.3333 0.6667 0.5000  9 Ir 2.61-2.75, 2 Tc 2.74
Tc3 0.6667 0.3333 0.5000  9 Ir 2.61-2.75, 2 Tc 2.74
Ir1 0.0000 0.3008 0.5000  4 Tc 2.61-2.63, 8 Ir 2.74-2.86
Ir2 0.0000 0.6379 0.0000  5 Tc 2.70-2.75, 8 Ir 2.74-2.86
Ir3 0.3008 0.0000 0.5000  4 Tc 2.61-2.63, 8 Ir 2.74-2.86
Ir4 0.3621 0.3621 0.0000  5 Tc 2.70-2.75, 8 Ir 2.74-2.86
Ir5 0.6379 0.0000 0.0000  5 Tc 2.70-2.75, 8 Ir 2.74-2.86
Ir6 0.6992 0.6992 0.5000  4 Tc 2.61-2.63, 8 Ir 2.74-2.86

No. 5
VASP calculation (PBE) on a geometry-optimized TcIr2 structure.

The calculation puts the distance to the lowest polymorph of the same formula at 0.0082 eV/atom. The calculation puts the calculated volume at 86.67 Å³/cell. Its formation energy is -0.2164 eV per atom.

Lattice parameters (Å, degrees): 4.7812 4.7812 4.3718 90.00 90.00 60.14
Last column: nearest neighbours and their distance in Å.
Fractional positions:
Tc1 0.1683 0.8317 0.7500  10 Ir 2.70-2.77, 2 Tc 2.72
Tc2 0.8317 0.1683 0.2500  10 Ir 2.70-2.77, 2 Tc 2.72
Ir1 0.1663 0.4999 0.2500  7 Ir 2.70-2.76, 5 Tc 2.70-2.77
Ir2 0.4999 0.1663 0.7500  7 Ir 2.70-2.76, 5 Tc 2.70-2.77
Ir3 0.5001 0.8337 0.2500  7 Ir 2.70-2.76, 5 Tc 2.70-2.77
Ir4 0.8337 0.5001 0.7500  7 Ir 2.70-2.76, 5 Tc 2.70-2.77

No. 6
VASP calculation (PBE) on a geometry-optimized TcIr structure.

The calculation puts the distance to the lowest polymorph of the same formula at 0.5296 eV/atom. The calculation puts the calculated volume at 62.64 Å³/cell. Its formation energy is 0.2463 eV per atom.

Lattice parameters (Å, degrees): 4.6588 4.6588 4.6588 54.68 54.68 54.68
Last column: nearest neighbours and their distance in Å.
Fractional positions:
Tc1 0.1670 0.1670 0.1670  3 Tc 2.47, 1 Ir 2.63
Tc2 0.8330 0.8330 0.8330  3 Tc 2.47, 1 Ir 2.63
Ir1 0.3893 0.3893 0.3893  4 Ir 2.62-2.80, 7 Tc 2.63-2.80
Ir2 0.6107 0.6107 0.6107  4 Ir 2.62-2.80, 7 Tc 2.63-2.80

No. 7
VASP calculation (PBE) on a geometry-optimized TcIr2 structure.

The calculation puts the distance to the lowest polymorph of the same formula at 0.5540 eV/atom. The calculation puts the calculated volume at 186.90 Å³/cell. Its formation energy is 0.3294 eV per atom.

Lattice parameters (Å, degrees): 5.0984 5.0984 8.3026 90.00 90.00 120.00
Last column: nearest neighbours and their distance in Å.
Fractional positions:
Tc1 0.3333 0.6667 0.0911  1 Tc 2.64, 6 Ir 2.87
Tc2 0.3333 0.6667 0.4089  1 Tc 2.64, 6 Ir 2.87
Tc3 0.6667 0.3333 0.5911  1 Tc 2.64, 6 Ir 2.87
Tc4 0.6667 0.3333 0.9089  1 Tc 2.64, 6 Ir 2.87
Ir1 0.0000 0.0000 0.0000  6 Ir 2.56
Ir2 0.0000 0.0000 0.5000  6 Ir 2.56
Ir3 0.1704 0.3408 0.7500  6 Ir 2.49-2.61
Ir4 0.1704 0.8296 0.7500  6 Ir 2.49-2.61
Ir5 0.3408 0.1704 0.2500  6 Ir 2.49-2.61
Ir6 0.6592 0.8296 0.7500  6 Ir 2.49-2.61
Ir7 0.8296 0.1704 0.2500  6 Ir 2.49-2.61
Ir8 0.8296 0.6592 0.2500  6 Ir 2.49-2.61

No. 8
VASP calculation (PBE) on a geometry-optimized TcIr8 structure.

The calculation puts the calculated volume at 130.46 Å³/cell. Its formation energy is -0.0890 eV per atom.

Lattice parameters (Å, degrees): 6.1200 6.1200 6.1200 95.74 95.74 143.14
Last column: nearest neighbours and their distance in Å.
Fractional positions:
Tc1 0.0000 0.0000 0.0000  12 Ir 2.71-2.72
Ir1 0.0000 0.3309 0.3309  1 Tc 2.72, 11 Ir 2.73-2.78
Ir2 0.0000 0.6691 0.6691  1 Tc 2.72, 11 Ir 2.73-2.78
Ir3 0.3309 0.0000 0.3309  1 Tc 2.72, 11 Ir 2.73-2.78
Ir4 0.3364 0.3364 0.6728  10 Ir 2.69-2.79, 2 Tc 2.71
Ir5 0.3364 0.6636 0.0000  10 Ir 2.69-2.79, 2 Tc 2.71
Ir6 0.6636 0.3364 0.0000  10 Ir 2.69-2.79, 2 Tc 2.71
Ir7 0.6636 0.6636 0.3272  10 Ir 2.69-2.79, 2 Tc 2.71
Ir8 0.6691 0.0000 0.6691  1 Tc 2.72, 11 Ir 2.73-2.78

No. 9
VASP calculation (PBE) on a geometry-optimized TcIr2 structure.

The calculation puts the distance to the lowest polymorph of the same formula at 0.0601 eV/atom. The calculation puts the calculated volume at 86.82 Å³/cell. Its formation energy is -0.1645 eV per atom.

Lattice parameters (Å, degrees): 5.1754 5.1754 6.4960 103.35 103.35 30.93
Last column: nearest neighbours and their distance in Å.
Fractional positions:
Tc1 0.1939 0.1939 0.1380  8 Ir 2.70-2.74, 4 Tc 2.71-2.76
Tc2 0.8061 0.8061 0.8620  8 Ir 2.70-2.74, 4 Tc 2.71-2.76
Ir1 0.1412 0.1412 0.5330  9 Ir 2.69-2.82, 3 Tc 2.74
Ir2 0.4710 0.4710 0.1895  7 Ir 2.66-2.82, 5 Tc 2.70-2.73
Ir3 0.5290 0.5290 0.8105  7 Ir 2.66-2.82, 5 Tc 2.70-2.73
Ir4 0.8588 0.8588 0.4670  9 Ir 2.69-2.82, 3 Tc 2.74

No. 10
VASP calculation (PBE) on a geometry-optimized Tc3Ir structure.

The calculation puts the distance to the lowest polymorph of the same formula at 0.0446 eV/atom. The calculation puts the calculated volume at 57.85 Å³/cell. Its formation energy is -0.1723 eV per atom.

Lattice parameters (Å, degrees): 5.1832 5.1832 5.1832 149.26 64.53 124.79
Last column: nearest neighbours and their distance in Å.
Fractional positions:
Tc1 0.0000 0.0000 0.0000  8 Tc 2.69-2.75, 4 Ir 2.76-2.78
Tc2 0.4234 0.6732 0.7502  9 Tc 2.69-2.77, 3 Ir 2.70-2.71
Tc3 0.9231 0.6732 0.2498  9 Tc 2.69-2.77, 3 Ir 2.70-2.71
Ir1 0.5024 0.0024 0.5000  10 Tc 2.70-2.78, 2 Ir 2.75